(1)
Density functional theory data (PBE) for an optimized crystal structure of RbNb3Cr.

a b c (Å): 4.7983 4.7983 4.7983
angles (deg): 90.00 90.00 90.00
Closest atoms and distances in Å follow each position.
Element x y z (fractional)
Rb 0.0000 0.0000 0.0000  6 Nb 2.40
Nb 0.0000 0.0000 0.5000  2 Rb 2.40
Nb 0.0000 0.5000 0.0000  2 Rb 2.40
Nb 0.5000 0.0000 0.0000  2 Rb 2.40
Cr 0.5000 0.5000 0.5000  12 Nb 3.39

Energy of formation   2.868 eV/atom
Space-group type   Pm-3m, No. 221
Electronic total energy   -26.46 eV/f.u.
Spin magnetization   0.7981 μB/atom



(2)
Density functional theory data (PBE) for an optimized crystal structure of Sr2Li2AlAg5.

a b c (Å): 10.4986 10.4986 3.8902
angles (deg): 90.00 90.00 90.00
Closest atoms and distances in Å follow each position.
Element x y z (fractional)
Sr 0.1829 0.3171 0.0000  3 Li 2.95-3.24
Sr 0.3171 0.8171 0.0000  3 Li 2.95-3.24
Sr 0.6829 0.1829 0.0000  3 Li 2.95-3.24
Sr 0.8171 0.6829 0.0000  3 Li 2.95-3.24
Li 0.1187 0.6187 0.0000  6 Ag 2.62-2.85
Li 0.3813 0.1187 0.0000  6 Ag 2.62-2.85
Li 0.6187 0.8813 0.0000  6 Ag 2.62-2.85
Li 0.8813 0.3813 0.0000  6 Ag 2.62-2.85
Al 0.0000 0.0000 0.0000  8 Ag 2.87
Al 0.5000 0.5000 0.0000  8 Ag 2.87
Ag 0.0000 0.5000 0.5000  4 Li 2.62
Ag 0.0498 0.8050 0.5000  2 Li 2.85, 2 Al 2.87, 2 Ag 2.99
Ag 0.1950 0.0498 0.5000  2 Li 2.85, 2 Al 2.87, 2 Ag 2.99
Ag 0.3050 0.5498 0.5000  2 Li 2.85, 2 Al 2.87, 2 Ag 2.99
Ag 0.4502 0.3050 0.5000  2 Li 2.85, 2 Al 2.87, 2 Ag 2.99
Ag 0.5000 0.0000 0.5000  4 Li 2.62
Ag 0.5498 0.6950 0.5000  2 Li 2.85, 2 Al 2.87, 2 Ag 2.99
Ag 0.6950 0.4502 0.5000  2 Li 2.85, 2 Al 2.87, 2 Ag 2.99
Ag 0.8050 0.9502 0.5000  2 Li 2.85, 2 Al 2.87, 2 Ag 2.99
Ag 0.9502 0.1950 0.5000  2 Li 2.85, 2 Al 2.87, 2 Ag 2.99

Energy of formation   -0.164 eV/atom
Space-group type   P4/mbm, No. 127
Electronic total energy   -26.83 eV/f.u.
Spin magnetization   0.0000 μB/atom



> Which formula does entry 2 have?

Sr2Li2AlAg5